Record 1
The following is a GGA-PBE calculation of crystalline SiB4 at its relaxed geometry, from Alexandria via LeMat-Bulk.

a b c (Å): 3.956 3.956 3.956
angles (deg): 90.00 90.00 90.00
Fractional coordinates of all 5 atoms:
1 Si 0.000 0.000 0.000
2 B 0.000 0.000 0.500
3 B 0.000 0.500 0.000
4 B 0.500 0.000 0.000
5 B 0.500 0.500 0.500

Values from the calculation:
Raw formation energy: 2.306 eV per atom
Energy: -20.605 eV for the cell shown
Space group: Pm-3m (221)
Size of the total moment: 0.00 Bohr magnetons per cell
E above lowest polymorph: 2058.6 meV/atom

=====

Record 2
The following is a GGA-PBE calculation of crystalline Si2B at its relaxed geometry, from Alexandria via LeMat-Bulk.

a b c (Å): 6.673 6.673 4.416
angles (deg): 102.06 102.06 27.71
Fractional coordinates of all 6 atoms:
1 Si 0.093 0.093 0.038
2 Si 0.178 0.178 0.611
3 Si 0.822 0.822 0.389
4 Si 0.907 0.907 0.962
5 B 0.340 0.340 0.701
6 B 0.660 0.660 0.299

Values from the calculation:
Raw formation energy: 0.238 eV per atom
Energy: -33.616 eV for the cell shown
Space group: C2/m (12)
Size of the total moment: 0.00 Bohr magnetons per cell
E above lowest polymorph: 54.2 meV/atom

=====

Repeat the first record exactly.
The following is a GGA-PBE calculation of crystalline SiB4 at its relaxed geometry, from Alexandria via LeMat-Bulk.

a b c (Å): 3.956 3.956 3.956
angles (deg): 90.00 90.00 90.00
Fractional coordinates of all 5 atoms:
1 Si 0.000 0.000 0.000
2 B 0.000 0.000 0.500
3 B 0.000 0.500 0.000
4 B 0.500 0.000 0.000
5 B 0.500 0.500 0.500

Values from the calculation:
Raw formation energy: 2.306 eV per atom
Energy: -20.605 eV for the cell shown
Space group: Pm-3m (221)
Size of the total moment: 0.00 Bohr magnetons per cell
E above lowest polymorph: 2058.6 meV/atom

=====

Please write out number 2 again, unchanged.
The following is a GGA-PBE calculation of crystalline Si2B at its relaxed geometry, from Alexandria via LeMat-Bulk.

a b c (Å): 6.673 6.673 4.416
angles (deg): 102.06 102.06 27.71
Fractional coordinates of all 6 atoms:
1 Si 0.093 0.093 0.038
2 Si 0.178 0.178 0.611
3 Si 0.822 0.822 0.389
4 Si 0.907 0.907 0.962
5 B 0.340 0.340 0.701
6 B 0.660 0.660 0.299

Values from the calculation:
Raw formation energy: 0.238 eV per atom
Energy: -33.616 eV for the cell shown
Space group: C2/m (12)
Size of the total moment: 0.00 Bohr magnetons per cell
E above lowest polymorph: 54.2 meV/atom

=====

Which of these has the lowest energy? Si2B

=====

Look up the size of the total moment of the second one. 0.00 Bohr magnetons per cell